BaCd4In2Hg: relaxed, GGA-PBE.

Cell lengths 5.165, 5.165, 10.149 Å; angles 75.26, 75.26, 60.00 degrees
Element x y z (fractional)
In1 0.751 0.751 0.746
Cd1 0.399 0.399 0.804
Cd2 0.868 0.868 0.397
Cd3 0.601 0.601 0.196
Ba1 0.000 0.000 0.000
In2 0.249 0.249 0.254
Hg1 0.500 0.500 0.500
Cd4 0.132 0.132 0.603

Properties
- space group = No. 166
- energy of formation from the pure elements (meV/atom) = -141.5

=====

NaSiNi2Rh: relaxed, GGA-PBE.

Cell lengths 4.733, 4.453, 4.733 Å; angles 90.00, 90.00, 90.00 degrees
Element x y z (fractional)
Ni1 0.500 0.000 0.000
Rh1 0.000 0.000 0.000
Si1 0.000 0.500 0.000
Ni2 0.000 0.000 0.500
Na1 0.500 0.500 0.500

Properties
- space group = No. 123
- E_form (uncorrected) (meV/atom) = 542

=====

Number 1: spin magnetization 0.00 μB per formula unit. Number 2: spin magnetization 2.25 μB per formula unit.